First-principles (PBE) data for a geometry-optimized Pm12Pd6Rh structure, as listed in Alexandria via LeMat-Bulk.

Lattice parameters (Å, degrees): 8.4024 8.4024 8.4024 98.33 98.33 98.33
Closest atoms and distances in Å follow each position.
Fractional positions:
Pm1 0.0425 0.6794 0.9225  1 Rh 2.77, 2 Pd 2.92-2.99
Pm2 0.0775 0.9575 0.3206  1 Rh 2.77, 2 Pd 2.92-2.99
Pm3 0.1825 0.4173 0.5768  3 Pd 2.83-3.03
Pm4 0.3206 0.0775 0.9575  1 Rh 2.77, 2 Pd 2.92-2.99
Pm5 0.4173 0.5768 0.1825  3 Pd 2.83-3.03
Pm6 0.4232 0.8175 0.5827  3 Pd 2.83-3.03
Pm7 0.5768 0.1825 0.4173  3 Pd 2.83-3.03
Pm8 0.5827 0.4232 0.8175  3 Pd 2.83-3.03
Pm9 0.6794 0.9225 0.0425  1 Rh 2.77, 2 Pd 2.92-2.99
Pm10 0.8175 0.5827 0.4232  3 Pd 2.83-3.03
Pm11 0.9225 0.0425 0.6794  1 Rh 2.77, 2 Pd 2.92-2.99
Pm12 0.9575 0.3206 0.0775  1 Rh 2.77, 2 Pd 2.92-2.99
Pd1 0.1292 0.6197 0.3094  5 Pm 2.83-3.03
Pd2 0.3094 0.1292 0.6197  5 Pm 2.83-3.03
Pd3 0.3803 0.6906 0.8708  5 Pm 2.83-3.03
Pd4 0.6197 0.3094 0.1292  5 Pm 2.83-3.03
Pd5 0.6906 0.8708 0.3803  5 Pm 2.83-3.03
Pd6 0.8708 0.3803 0.6906  5 Pm 2.83-3.03
Rh1 0.0000 0.0000 0.0000  6 Pm 2.77

Summary:
symmetry = R-3 (148)
spin magnetization = 0.000 μB/cell
calculated total energy = -5.515 eV/atom

---

First-principles (PBE) data for a geometry-optimized Pm8Pd5Rh structure, as listed in Alexandria via LeMat-Bulk.

Lattice parameters (Å, degrees): 7.7702 7.7702 7.7702 109.68 109.68 109.06
Closest atoms and distances in Å follow each position.
Fractional positions:
Pm1 0.2510 0.5041 0.6304  3 Pd 2.88-2.91
Pm2 0.3794 0.7490 0.2531  3 Pd 2.88-2.91
Pm3 0.3831 0.2443 0.2556  1 Rh 2.82, 2 Pd 2.89-2.92
Pm4 0.4959 0.1263 0.7469  3 Pd 2.88-2.91
Pm5 0.7557 0.0113 0.1388  1 Rh 2.82, 2 Pd 2.89-2.92
Pm6 0.8725 0.6169 0.8612  1 Rh 2.82, 2 Pd 2.89-2.92
Pm7 0.8737 0.6206 0.3696  3 Pd 2.88-2.91
Pm8 0.9887 0.1275 0.7444  1 Rh 2.82, 2 Pd 2.89-2.92
Pd1 0.0037 0.3770 0.1272  4 Pm 2.88-2.92
Pd2 0.1235 0.9963 0.3733  4 Pm 2.88-2.92
Pd3 0.2498 0.8765 0.8728  4 Pm 2.88-2.92
Pd4 0.5000 0.5000 0.0000  4 Pm 2.89
Pd5 0.6230 0.7502 0.6267  4 Pm 2.88-2.92
Rh1 0.7500 0.2500 0.5000  4 Pm 2.82

Summary:
symmetry = I-4 (82)
spin magnetization = 0.000 μB/cell
calculated total energy = -5.761 eV/atom

---

First-principles (PBE) data for a geometry-optimized Pm8Pd3Rh2 structure, as listed in Alexandria via LeMat-Bulk.

Lattice parameters (Å, degrees): 8.8258 8.8258 6.8745 110.31 110.31 50.03
Closest atoms and distances in Å follow each position.
Fractional positions:
Pm1 0.0965 0.0965 0.4347  1 Rh 2.74, 3 Pd 2.79-2.95
Pm2 0.1195 0.6241 0.0624  2 Rh 2.84-2.98, 2 Pd 2.91-2.96
Pm3 0.3285 0.3285 0.4982  1 Rh 2.94, 2 Pd 3.06
Pm4 0.3759 0.8805 0.9376  2 Rh 2.84-2.98, 2 Pd 2.91-2.96
Pm5 0.6241 0.1195 0.0624  2 Rh 2.84-2.98, 2 Pd 2.91-2.96
Pm6 0.6715 0.6715 0.5018  1 Rh 2.94, 2 Pd 3.06
Pm7 0.8805 0.3759 0.9376  2 Rh 2.84-2.98, 2 Pd 2.91-2.96
Pm8 0.9035 0.9035 0.5653  1 Rh 2.74, 3 Pd 2.79-2.95
Pd1 0.0000 0.0000 0.0000  6 Pm 2.79-2.91
Pd2 0.3160 0.6840 0.5000  1 Pd 2.75, 6 Pm 2.95-3.06
Pd3 0.6840 0.3160 0.5000  1 Pd 2.75, 6 Pm 2.95-3.06
Rh1 0.2437 0.2437 0.8091  6 Pm 2.74-2.98
Rh2 0.7563 0.7563 0.1909  6 Pm 2.74-2.98

Summary:
symmetry = C2/m (12)
spin magnetization = 0.000 μB/cell
calculated total energy = -5.737 eV/atom

---

Which formula does entry 1 have? Pm12Pd6Rh

---

What is the calculated total energy in the first record? -5.515 eV/atom

---

Number 1 is which compound? Pm12Pd6Rh